# NpPa2Au

A geometry-optimized NpPa2Au structure (PBE, Alexandria).

M_tot   2.86 μB/f.u.
ΔE_f   -107 meV/atom
Space-group type   No. 123

Unit cell a=3.1747 b=5.3070 c=5.3070 alpha=90.00 beta=90.00 gamma=90.00
With the nearest neighbours (Å) after each atom.
Fractional coordinates of all 4 atoms:
Np1 0.5000 0.5000 0.5000  8 Pa 3.09, 2 Np 3.17
Pa1 0.0000 0.0000 0.5000  4 Np 3.09, 4 Au 3.09, 2 Pa 3.17
Pa2 0.0000 0.5000 0.0000  4 Np 3.09, 4 Au 3.09, 2 Pa 3.17
Au1 0.5000 0.0000 0.0000  8 Pa 3.09, 2 Au 3.17


# NpPaAu2

A geometry-optimized NpPaAu2 structure (PBE, Alexandria).

M_tot   5.91 μB/f.u.
ΔE_f   -102 meV/atom
Space-group type   No. 123

Unit cell a=3.8909 b=3.8909 c=6.1040 alpha=90.00 beta=90.00 gamma=90.00
With the nearest neighbours (Å) after each atom.
Fractional coordinates of all 4 atoms:
Np1 0.5000 0.5000 0.5000  2 Pa 3.05, 8 Au 3.15
Pa1 0.5000 0.5000 0.0000  2 Np 3.05, 8 Au 3.14
Au1 0.0000 0.0000 0.7514  2 Au 3.03-3.07, 4 Pa 3.14, 4 Np 3.15
Au2 0.0000 0.0000 0.2486  2 Au 3.03-3.07, 4 Pa 3.14, 4 Np 3.15


# NpPaAu

A geometry-optimized NpPaAu structure (PBE, Alexandria).

M_tot   5.08 μB/f.u.
ΔE_f   40 meV/atom
Space-group type   No. 107

Unit cell a=3.6665 b=3.6665 c=5.6292 alpha=109.01 beta=109.01 gamma=90.00
With the nearest neighbours (Å) after each atom.
Fractional coordinates of all 3 atoms:
Np1 0.3187 0.3187 0.6373  4 Pa 2.94, 5 Au 3.17
Pa1 0.6800 0.6800 0.3599  4 Np 2.94, 5 Au 3.15-3.21
Au1 0.0014 0.0014 0.0027  5 Pa 3.15-3.21, 5 Np 3.17


The records above give, respectively, N(E_F) values of 8.6; 10.1; 8.2 states/eV/cell.
The records above give, respectively, calculated total energy values of -35.638; -29.400; -25.594 eV/cell.